[1]
Computed, not measured: crystalline TlPd3Pt2 at its relaxed geometry at the PBE level of DFT.

a b c (Å): 5.599 14.076 5.236
angles (deg): 90.00 90.00 90.00
Space group Cmcm (No. 63)
Asymmetric unit:
1 Tl 0.000 0.158 0.250 (multiplicity 4)
2 Pd 0.000 0.348 0.750 (multiplicity 4)
3 Pd 0.249 0.173 0.750 (multiplicity 8)
4 Pt 0.244 0.500 0.000 (multiplicity 8)

Computed properties:
The value obtained for the energy of formation from the pure elements is 2.7 kJ/mol of atoms.


[2]
Computed, not measured: crystalline CeMg at its relaxed geometry at the PBE level of DFT.

a b c (Å): 7.224 7.224 7.224
angles (deg): 90.00 90.00 90.00
Space group F-43m (No. 216)
Asymmetric unit:
1 Ce 0.000 0.000 0.000 (multiplicity 4)
2 Mg 0.250 0.250 0.750 (multiplicity 4)

Computed properties:
The value obtained for the energy of formation from the pure elements is 131.0 kJ/mol of atoms.


[3]
Computed, not measured: crystalline TlPdS at its relaxed geometry at the PBE level of DFT.

a b c (Å): 4.0528 4.0528 4.9717
angles (deg): 90.00 90.00 120.00
Space group P-6m2 (No. 187)
Asymmetric unit:
1 Tl 0.0000 0.0000 0.0000 (multiplicity 1)
2 Pd 0.6667 0.3333 0.5000 (multiplicity 1)
3 S 0.3333 0.6667 0.5000 (multiplicity 1)

Computed properties:
The relative energy among the computed polymorphs is 0.20 eV/f.u. The energy relative to the elements, uncorrected is -5.84 kcal/mol of atoms.


[4]
Computed, not measured: crystalline HfSiH3 at its relaxed geometry at the PBE level of DFT.

a b c (Å): 3.711 3.711 3.711
angles (deg): 90.00 90.00 90.00
Space group Pm-3m (No. 221)
Asymmetric unit:
1 Hf 0.000 0.000 0.000 (multiplicity 1)
2 Si 0.500 0.500 0.500 (multiplicity 1)
3 H 0.000 0.000 0.500 (multiplicity 3)

Computed properties:
The relative energy among the computed polymorphs is 0.00 eV/f.u.


[5]
Computed, not measured: crystalline Cs5NaS at its relaxed geometry at the PBE level of DFT.

a b c (Å): 18.065 9.860 13.874
angles (deg): 90.00 112.09 90.00
Space group C2/c (No. 15)
Asymmetric unit:
1 Cs 0.000 0.029 0.250 (multiplicity 4)
2 Cs 0.123 0.264 0.047 (multiplicity 8)
3 Cs 0.150 0.220 0.590 (multiplicity 8)
4 Na 0.000 0.496 0.250 (multiplicity 4)
5 S 0.000 0.000 0.000 (multiplicity 4)

Computed properties:
The energy relative to the elements, uncorrected is -9.13 kcal/mol of atoms.


[6]
Computed, not measured: crystalline LiCaPb3 at its relaxed geometry at the PBE level of DFT.

a b c (Å): 5.905 5.905 5.905
angles (deg): 90.00 90.00 90.00
Space group Pm-3m (No. 221)
Asymmetric unit:
1 Li 0.000 0.000 0.000 (multiplicity 1)
2 Ca 0.500 0.500 0.500 (multiplicity 1)
3 Pb 0.000 0.500 0.500 (multiplicity 3)

Computed properties:
The value obtained for the energy of formation from the pure elements is 41.7 kJ/mol of atoms. The relative energy among the computed polymorphs is 3.39 eV/f.u.


[7]
Computed, not measured: crystalline DyZrH2 at its relaxed geometry at the PBE level of DFT.

a b c (Å): 3.3584 3.3584 16.5631
angles (deg): 90.00 90.00 120.00
Space group R-3m (No. 166, hexagonal axes)
Asymmetric unit:
1 Dy 0.0000 0.0000 0.0000 (multiplicity 3)
2 Zr 0.0000 0.0000 0.5000 (multiplicity 3)
3 H 0.0000 0.0000 0.2330 (multiplicity 6)

Computed properties:
The relative energy among the computed polymorphs is 0.00 eV/f.u.


[8]
Computed, not measured: crystalline ZnAg5 at its relaxed geometry at the PBE level of DFT.

a b c (Å): 10.840 2.912 6.811
angles (deg): 90.00 104.61 90.00
Space group Cm (No. 8)
Asymmetric unit:
1 Zn 0.000 0.000 0.000 (multiplicity 2)
2 Ag 0.107 0.500 0.729 (multiplicity 2)
3 Ag 0.163 0.500 0.325 (multiplicity 2)
4 Ag 0.282 0.000 0.054 (multiplicity 2)
5 Ag 0.333 0.000 0.668 (multiplicity 2)
6 Ag 0.444 0.500 0.386 (multiplicity 2)

Computed properties:
The value obtained for the energy of formation from the pure elements is 0.3 kJ/mol of atoms. The relative energy among the computed polymorphs is 0.05 eV/f.u.


[9]
Computed, not measured: crystalline LiFe2Mo at its relaxed geometry at the PBE level of DFT.

a b c (Å): 6.458 6.458 5.101
angles (deg): 90.00 90.00 90.00
Space group I-42d (No. 122)
Asymmetric unit:
1 Li 0.000 0.000 0.000 (multiplicity 4)
2 Fe 0.240 0.250 0.625 (multiplicity 8)
3 Mo 0.000 0.000 0.500 (multiplicity 4)

Computed properties:
The value obtained for the energy of formation from the pure elements is 69.8 kJ/mol of atoms. The relative energy among the computed polymorphs is 2.04 eV/f.u.


[10]
Computed, not measured: crystalline ScCu2Os at its relaxed geometry at the PBE level of DFT.

a b c (Å): 2.7411 2.7411 27.1947
angles (deg): 90.00 90.00 120.00
Space group R-3m (No. 166, hexagonal axes)
Asymmetric unit:
1 Sc 0.0000 0.0000 0.0000 (multiplicity 3)
2 Cu 0.0000 0.0000 0.2461 (multiplicity 6)
3 Os 0.0000 0.0000 0.5000 (multiplicity 3)

Computed properties:
The value obtained for the energy of formation from the pure elements is 31.7 kJ/mol of atoms. The relative energy among the computed polymorphs is 1.55 eV/f.u.


[11]
Computed, not measured: crystalline CsRb2MgGa at its relaxed geometry at the PBE level of DFT.

a b c (Å): 7.206 7.206 5.435
angles (deg): 90.00 90.00 90.00
Space group P4/mmm (No. 123)
Asymmetric unit:
1 Cs 0.000 0.000 0.000 (multiplicity 1)
2 Rb 0.000 0.500 0.500 (multiplicity 2)
3 Mg 0.500 0.500 0.000 (multiplicity 1)
4 Ga 0.500 0.500 0.500 (multiplicity 1)

Computed properties:
The value obtained for the energy of formation from the pure elements is 13.2 kJ/mol of atoms.


[12]
Computed, not measured: crystalline TlRe2Ni at its relaxed geometry at the PBE level of DFT.

a b c (Å): 3.776 3.776 8.852
angles (deg): 90.00 90.00 90.00
Space group I4/mmm (No. 139)
Asymmetric unit:
1 Tl 0.000 0.000 0.000 (multiplicity 2)
2 Re 0.000 0.500 0.250 (multiplicity 4)
3 Ni 0.000 0.000 0.500 (multiplicity 2)

Computed properties:
The value obtained for the energy of formation from the pure elements is 75.1 kJ/mol of atoms. The relative energy among the computed polymorphs is 1.04 eV/f.u.